[1]
{
  "formula": "BaSc2Ni",
  "functional": "SCAN",
  "state": "PBEsol geometry",
  "lattice": [[-2.880, -0.063, 1.557], [0.047, -3.274, -0.045], [4.307, -0.047, 7.962]],
  "species": ["Ba", "Sc", "Sc", "Ni"],
  "fractional_positions": [[0.500, 0.500, 0.500], [0.000, 0.000, 0.842], [0.000, 0.000, 0.158], [0.500, 0.500, 0.000]],
  "density_g_cm3": 4.89,
  "crystal_system": "tetragonal",
  "relative_energy_kj_per_mol_atoms": 0.0,
  "e_tot_ev_per_atom": -21.085,
  "spacegroup": "P4/mmm (123)",
  "ef_ev_per_atom": -0.036
}

[2]
{
  "formula": "SrTl2Br",
  "functional": "SCAN",
  "state": "PBEsol geometry",
  "lattice": [[-2.576, 0.906, -3.514], [-0.391, -4.402, -0.518], [-3.641, 1.761, 5.775]],
  "species": ["Sr", "Tl", "Tl", "Br"],
  "fractional_positions": [[0.500, 0.500, 0.000], [0.500, 0.000, 0.500], [0.000, 0.500, 0.500], [0.000, 0.000, 0.000]],
  "density_g_cm3": 7.62,
  "crystal_system": "orthorhombic",
  "relative_energy_kj_per_mol_atoms": 0.0,
  "e_tot_ev_per_atom": -47.413,
  "spacegroup": "Fmmm (69)",
  "e_form_raw_mev_per_atom": -800
}

[3]
{
  "formula": "YHgMo2Rh",
  "functional": "SCAN",
  "state": "PBEsol geometry",
  "lattice": [[4.706, 0.000, 0.000], [0.000, 4.783, 0.000], [0.000, 0.000, 4.783]],
  "species": ["Mo", "Mo", "Y", "Hg", "Rh"],
  "fractional_positions": [[0.000, 0.000, 0.500], [0.000, 0.500, 0.000], [0.000, 0.000, 0.000], [0.500, 0.500, 0.500], [0.500, 0.000, 0.000]],
  "density_g_cm3": 9.01,
  "crystal_system": "tetragonal",
  "e_tot_ev_per_atom": -37.746,
  "spacegroup": "P4/mmm (123)",
  "ef_ev_per_atom": 2.164
}

[4]
{
  "formula": "Ni2AgPC",
  "functional": "SCAN",
  "state": "PBEsol geometry",
  "lattice": [[-0.883, -0.822, 3.543], [-1.159, -3.392, -1.075], [3.977, -1.559, 0.629]],
  "species": ["P", "Ag", "Ni", "Ni", "C"],
  "fractional_positions": [[0.500, 0.500, 0.500], [0.000, 0.000, 0.500], [0.500, 0.000, 0.000], [0.000, 0.500, 0.000], [0.000, 0.000, 0.000]],
  "density_g_cm3": 7.36,
  "crystal_system": "tetragonal",
  "e_tot_ev_per_atom": -16.251,
  "spacegroup": "P4/mmm (123)",
  "ef_ev_per_atom": 0.591
}

[5]
{
  "formula": "Co2RhW",
  "functional": "SCAN",
  "state": "PBEsol geometry",
  "lattice": [[-0.436, 1.569, 2.600], [-1.715, -2.295, 1.098], [4.350, -2.251, 2.088]],
  "species": ["Rh", "W", "Co", "Co"],
  "fractional_positions": [[0.000, 0.000, 0.492], [0.500, 0.500, 0.775], [0.000, 0.000, 0.015], [0.500, 0.500, 0.218]],
  "density_g_cm3": 13.40,
  "crystal_system": "tetragonal",
  "relative_energy_kj_per_mol_atoms": 13.1,
  "e_tot_ev_per_atom": -34.399,
  "spacegroup": "P4mm (99)",
  "ef_ev_per_atom": 0.118
}

[6]
{
  "formula": "AgPdRu2Rh",
  "functional": "SCAN",
  "state": "PBEsol geometry",
  "lattice": [[-2.051, 2.661, -3.214], [2.936, -1.635, -3.228], [-2.978, -3.453, -0.959]],
  "species": ["Ru", "Ru", "Pd", "Ag", "Rh"],
  "fractional_positions": [[0.000, 0.500, 0.000], [0.000, 0.000, 0.500], [0.500, 0.000, 0.000], [0.000, 0.000, 0.000], [0.500, 0.500, 0.500]],
  "density_g_cm3": 8.54,
  "crystal_system": "tetragonal",
  "e_tot_ev_per_atom": -31.252,
  "spacegroup": "P4/mmm (123)",
  "ef_ev_per_atom": 2.261
}

[7]
{
  "formula": "Fe4Co",
  "functional": "SCAN",
  "state": "PBEsol geometry",
  "lattice": [[-3.723, 0.993, 0.902], [-1.102, 0.313, 3.788], [-0.572, 4.340, 1.542]],
  "species": ["Fe", "Fe", "Fe", "Fe", "Co"],
  "fractional_positions": [[0.400, 0.400, 0.800], [0.801, 0.801, 0.596], [0.600, 0.600, 0.200], [0.199, 0.199, 0.404], [0.000, 0.000, 0.000]],
  "density_g_cm3": 8.56,
  "crystal_system": "trigonal",
  "relative_energy_kj_per_mol_atoms": 0.6,
  "e_tot_ev_per_atom": -18.081,
  "spacegroup": "R-3m (166)",
  "ef_ev_per_atom": -0.116
}

[8]
{
  "formula": "SiPt2Rh",
  "functional": "SCAN",
  "state": "PBEsol geometry",
  "lattice": [[2.760, -0.001, 0.000], [-0.034, 4.430, 0.000], [-1.363, -2.214, 4.692]],
  "species": ["Pt", "Pt", "Rh", "Si"],
  "fractional_positions": [[0.000, 0.000, 0.500], [0.500, 0.500, 0.500], [0.000, 0.000, 0.000], [0.500, 0.500, 0.000]],
  "density_g_cm3": 15.08,
  "crystal_system": "monoclinic",
  "e_tot_ev_per_atom": -46.345,
  "spacegroup": "C2/m (12)",
  "e_form_raw_mev_per_atom": -301
}

[9]
{
  "formula": "OsRuRh2",
  "functional": "SCAN",
  "state": "PBEsol geometry",
  "lattice": [[2.672, 0.000, 0.000], [0.000, 3.778, 0.000], [0.000, 0.000, 5.363]],
  "species": ["Ru", "Rh", "Rh", "Os"],
  "fractional_positions": [[0.000, 0.000, 0.504], [0.500, 0.500, 0.251], [0.000, 0.000, 0.999], [0.500, 0.500, 0.746]],
  "density_g_cm3": 15.24,
  "crystal_system": "orthorhombic",
  "relative_energy_kj_per_mol_atoms": 0.7,
  "e_tot_ev_per_atom": -43.514,
  "spacegroup": "Pmm2 (25)",
  "ef_ev_per_atom": 0.049
}

[10]
{
  "formula": "YRhN2",
  "functional": "SCAN",
  "state": "PBEsol geometry",
  "lattice": [[3.332, 0.000, 0.000], [1.666, 2.886, 0.000], [1.666, 0.962, 5.830]],
  "species": ["N", "N", "Rh", "Y"],
  "fractional_positions": [[0.876, 0.876, 0.371], [0.124, 0.124, 0.629], [0.500, 0.500, 0.500], [0.000, 0.000, 0.000]],
  "density_g_cm3": 6.51,
  "crystal_system": "trigonal",
  "e_tot_ev_per_atom": -19.765,
  "spacegroup": "R-3m (166)",
  "e_form_raw_mev_per_atom": 284
}

[11]
{
  "formula": "Re2POs",
  "functional": "SCAN",
  "state": "PBEsol geometry",
  "lattice": [[2.757, 0.000, 0.000], [-1.275, 2.444, 0.000], [0.000, 0.000, 8.342]],
  "species": ["Re", "Re", "P", "Os"],
  "fractional_positions": [[0.000, 0.000, 0.229], [0.000, 0.000, 0.771], [0.500, 0.500, 0.000], [0.500, 0.500, 0.500]],
  "density_g_cm3": 17.54,
  "crystal_system": "orthorhombic",
  "e_tot_ev_per_atom": -55.515,
  "spacegroup": "Cmmm (65)",
  "ef_ev_per_atom": 0.603
}

[12]
{
  "formula": "BaRu2Se",
  "functional": "SCAN",
  "state": "PBEsol geometry",
  "lattice": [[3.150, 0.000, 0.000], [0.000, 5.226, 0.000], [0.000, 0.000, 4.618]],
  "species": ["Se", "Ba", "Ru", "Ru"],
  "fractional_positions": [[0.500, 0.000, 0.500], [0.000, 0.500, 0.500], [0.000, 0.000, 0.000], [0.500, 0.500, 0.000]],
  "density_g_cm3": 9.14,
  "crystal_system": "orthorhombic",
  "e_tot_ev_per_atom": -31.481,
  "spacegroup": "Pmmm (47)",
  "e_form_raw_mev_per_atom": 839
}